Entry 1:
VASP calculation (PBE-GGA) on a relaxed structure of NpIn6F12.

abc: 7.7358 7.7358 7.7358
angles: 102.65 102.65 102.65
Last column: nearest neighbours and their distance in Å.
Positions (direct):
F (0.5802, 0.7850, 0.4735)  2 In 2.30-2.31
F (0.7850, 0.4735, 0.5802)  2 In 2.30-2.31
F (0.4198, 0.2150, 0.5265)  2 In 2.30-2.31
F (0.4735, 0.5802, 0.7850)  2 In 2.30-2.31
F (0.5265, 0.4198, 0.2150)  2 In 2.30-2.31
F (0.2798, 0.9993, 0.0851)  1 Np 2.12
F (0.2150, 0.5265, 0.4198)  2 In 2.30-2.31
F (0.9993, 0.0851, 0.2798)  1 Np 2.12
F (0.0851, 0.2798, 0.9993)  1 Np 2.12
F (0.9149, 0.7202, 0.0007)  1 Np 2.12
F (0.7202, 0.0007, 0.9149)  1 Np 2.12
F (0.0007, 0.9149, 0.7202)  1 Np 2.12
In (0.6791, 0.4079, 0.8221)  3 F 2.30-2.56
In (0.3209, 0.5921, 0.1779)  3 F 2.30-2.56
In (0.8221, 0.6791, 0.4079)  3 F 2.30-2.56
In (0.4079, 0.8221, 0.6791)  3 F 2.30-2.56
In (0.5921, 0.1779, 0.3209)  3 F 2.30-2.56
In (0.1779, 0.3209, 0.5921)  3 F 2.30-2.56
Np (0.0000, 0.0000, 0.0000)  6 F 2.12

formation energy without anion corrections	-2238	meV/atom
calculated volume	423.02	Å³/f.u.
total magnetization	2.27	μB per formula unit



Entry 2:
VASP calculation (PBE-GGA) on a relaxed structure of Np2InF11.

abc: 8.3918 8.5183 8.5183
angles: 73.54 60.49 60.49
Last column: nearest neighbours and their distance in Å.
Positions (direct):
In (0.7500, 0.7500, 0.7500)  8 F 2.22-2.25
In (0.2500, 0.2500, 0.2500)  8 F 2.22-2.25
Np (0.3453, 0.3175, 0.6825)  7 F 2.13-2.37
Np (0.8453, 0.1825, 0.8175)  7 F 2.13-2.37
Np (0.1547, 0.8175, 0.1825)  7 F 2.13-2.37
Np (0.6547, 0.6825, 0.3175)  7 F 2.13-2.37
F (0.9278, 0.4292, 0.2913)  1 Np 2.20, 1 In 2.25
F (0.6482, 0.7087, 0.5708)  1 Np 2.20, 1 In 2.25
F (0.2333, 0.5280, 0.1842)  1 Np 2.21, 1 In 2.22
F (0.3742, 0.7119, 0.2881)  2 Np 2.13-2.37
F (0.0544, 0.1842, 0.5280)  1 Np 2.21, 1 In 2.22
F (0.3518, 0.2913, 0.4292)  1 Np 2.20, 1 In 2.25
F (0.5000, 0.5000, 0.5000)  2 Np 2.27, 2 F 2.41
F (0.5722, 0.2087, 0.0708)  1 Np 2.20, 1 In 2.25
F (0.4456, 0.9720, 0.3158)  1 Np 2.21, 1 In 2.22
F (0.6258, 0.2881, 0.7119)  2 Np 2.13-2.37
F (0.0722, 0.5708, 0.7087)  1 Np 2.20, 1 In 2.25
F (0.9456, 0.8158, 0.4720)  1 Np 2.21, 1 In 2.22
F (0.8742, 0.7881, 0.2119)  2 Np 2.13-2.37
F (0.1482, 0.0708, 0.2087)  1 Np 2.20, 1 In 2.25
F (0.0000, 0.0000, 0.0000)  2 Np 2.27, 2 F 2.41
F (0.8518, 0.9292, 0.7913)  1 Np 2.20, 1 In 2.25
F (0.1258, 0.2119, 0.7881)  2 Np 2.13-2.37
F (0.4278, 0.7913, 0.9292)  1 Np 2.20, 1 In 2.25
F (0.7333, 0.6842, 0.0280)  1 Np 2.21, 1 In 2.22
F (0.7667, 0.4720, 0.8158)  1 Np 2.21, 1 In 2.22
F (0.5544, 0.0280, 0.6842)  1 Np 2.21, 1 In 2.22
F (0.2667, 0.3158, 0.9720)  1 Np 2.21, 1 In 2.22

formation energy without anion corrections	-3137	meV/atom
calculated volume	230.26	Å³/f.u.
total magnetization	6.00	μB per formula unit



Which of these has the highest calculated volume?
NpIn6F12